[1]
Computed, not measured: a relaxed CaSm2Cd crystal at the GGA-PBE level of DFT.

Output
ΔE to the lowest computed polymorph = 50 meV/atom
Formation energy = -0.036 eV/atom
Fermi-level density of states = 1.16 states/eV per atom

abc: 5.5873 5.5873 5.5873
angles: 60.00 60.00 60.00
Element x y z (fractional)
1 Sm 0.2500 0.2500 0.2500
2 Sm 0.7500 0.7500 0.7500
3 Ca 0.0000 0.0000 0.0000
4 Cd 0.5000 0.5000 0.5000


[2]
Computed, not measured: a relaxed GePNCl2 crystal at the GGA-PBE level of DFT.

Output
ΔE to the lowest computed polymorph = 113 meV/atom
Fermi-level density of states = 0.20 states/eV per atom
Raw formation energy = 1.11 eV/atom

abc: 4.9838 4.9838 5.0672
angles: 90.00 90.00 90.00
Element x y z (fractional)
1 Ge 0.0000 0.0000 0.0000
2 P 0.0000 0.0000 0.5000
3 N 0.5000 0.5000 0.5000
4 Cl 0.5000 0.0000 0.0000
5 Cl 0.0000 0.5000 0.0000


[3]
Computed, not measured: a relaxed K2CaUSe4 crystal at the GGA-PBE level of DFT.

Output
Fermi-level density of states = 0.50 states/eV per atom
Raw formation energy = -1.47 eV/atom

abc: 4.2925 7.4045 8.0186
angles: 107.73 90.00 90.00
Element x y z (fractional)
1 U 0.0000 0.0000 0.0000
2 Se 0.0000 0.2493 0.7953
3 Se 0.5000 0.2239 0.2044
4 Se 0.0000 0.7507 0.2047
5 Se 0.5000 0.7761 0.7956
6 K 0.5000 0.0000 0.5000
7 K 0.0000 0.5000 0.5000
8 Ca 0.5000 0.5000 0.0000


[4]
Computed, not measured: a relaxed Na2PuI8 crystal at the GGA-PBE level of DFT.

Output
Fermi-level density of states = 1.07 states/eV per atom
Raw formation energy = -0.77 eV/atom

abc: 6.5389 9.2616 9.2616
angles: 88.00 79.62 79.62
Element x y z (fractional)
1 Na 0.8995 0.7154 0.7154
2 Na 0.1005 0.2846 0.2846
3 I 0.7996 0.0685 0.7373
4 I 0.7996 0.7373 0.0685
5 I 0.2531 0.4973 0.4973
6 I 0.3432 0.8063 0.8063
7 I 0.6568 0.1937 0.1937
8 I 0.2004 0.9315 0.2627
9 I 0.2004 0.2627 0.9315
10 I 0.7469 0.5027 0.5027
11 Pu 0.0000 0.0000 0.0000


[5]
Computed, not measured: a relaxed SrLi2AsH crystal at the GGA-PBE level of DFT.

Output
ΔE to the lowest computed polymorph = 0 meV/atom

abc: 4.2534 5.9688 7.3305
angles: 90.00 90.00 110.87
Element x y z (fractional)
1 Li 0.1653 0.3306 0.5620
2 Li 0.8347 0.6694 0.4380
3 Li 0.1653 0.3306 0.9380
4 Li 0.8347 0.6694 0.0620
5 As 0.7153 0.4306 0.7500
6 As 0.2847 0.5694 0.2500
7 Sr 0.4343 0.8687 0.7500
8 Sr 0.5657 0.1313 0.2500
9 H 0.0000 0.0000 0.0000
10 H 0.0000 0.0000 0.5000


[6]
Computed, not measured: a relaxed BaTaAu3 crystal at the GGA-PBE level of DFT.

Output
ΔE to the lowest computed polymorph = 0 meV/atom
Formation energy = -0.013 eV/atom
Fermi-level density of states = 0.73 states/eV per atom

abc: 5.2403 5.2403 5.2403
angles: 90.00 90.00 90.00
Element x y z (fractional)
1 Ta 0.0000 0.0000 0.0000
2 Au 0.5000 0.0000 0.0000
3 Au 0.0000 0.5000 0.0000
4 Au 0.0000 0.0000 0.5000
5 Ba 0.5000 0.5000 0.5000


[7]
Computed, not measured: a relaxed Pr6Er2TmTh crystal at the GGA-PBE level of DFT.

Output
Formation energy = 0.142 eV/atom
Fermi-level density of states = 1.41 states/eV per atom

abc: 9.7100 8.9221 8.9221
angles: 116.01 93.95 93.95
Element x y z (fractional)
1 Tm 0.7500 0.5895 0.4105
2 Tm 0.2500 0.4105 0.5895
3 Pr 0.6903 0.0043 0.5730
4 Pr 0.1903 0.5730 0.0043
5 Pr 0.8097 0.4270 0.9957
6 Pr 0.0581 0.1097 0.7634
7 Pr 0.4419 0.2366 0.8903
8 Pr 0.9419 0.8903 0.2366
9 Pr 0.3830 0.5146 0.2981
10 Pr 0.1170 0.7019 0.4854
11 Pr 0.8830 0.2981 0.5146
12 Pr 0.3097 0.9957 0.4270
13 Pr 0.6170 0.4854 0.7019
14 Pr 0.5581 0.7634 0.1097
15 Er 0.4479 0.7985 0.7084
16 Er 0.9479 0.7084 0.7985
17 Er 0.0521 0.2916 0.2015
18 Er 0.5521 0.2015 0.2916
19 Th 0.2500 0.9696 0.0304
20 Th 0.7500 0.0304 0.9696


[8]
Computed, not measured: a relaxed TmZr6N8 crystal at the GGA-PBE level of DFT.

Output
Fermi-level density of states = 0.30 states/eV per atom
Raw formation energy = -1.56 eV/atom

abc: 6.5067 6.5067 6.5067
angles: 60.00 60.00 60.00
Element x y z (fractional)
1 N 0.7539 0.2461 0.2461
2 N 0.2461 0.2461 0.7539
3 N 0.2461 0.7539 0.2461
4 N 0.7500 0.7500 0.7500
5 N 0.2461 0.7539 0.7539
6 N 0.7539 0.7539 0.2461
7 N 0.7539 0.2461 0.7539
8 N 0.2500 0.2500 0.2500
9 Zr 0.0000 0.5000 0.5000
10 Zr 0.5000 0.0000 0.5000
11 Zr 0.0000 0.5000 0.0000
12 Zr 0.5000 0.5000 0.0000
13 Zr 0.0000 0.0000 0.5000
14 Zr 0.5000 0.0000 0.0000
15 Tm 0.0000 0.0000 0.0000


[9]
Computed, not measured: a relaxed B3SbCl crystal at the GGA-PBE level of DFT.

Output
ΔE to the lowest computed polymorph = 0 meV/atom
Fermi-level density of states = 0.37 states/eV per atom
Raw formation energy = 2.06 eV/atom

abc: 4.6143 4.6143 4.6143
angles: 90.00 90.00 90.00
Element x y z (fractional)
1 Cl 0.5000 0.5000 0.5000
2 B 0.5000 0.0000 0.0000
3 B 0.0000 0.0000 0.5000
4 B 0.0000 0.5000 0.0000
5 Sb 0.0000 0.0000 0.0000


[10]
Computed, not measured: a relaxed Ni3Ge2Pd crystal at the GGA-PBE level of DFT.

Output
Formation energy = -0.267 eV/atom
Fermi-level density of states = 0.54 states/eV per atom

abc: 3.7711 8.7574 8.3330
angles: 115.80 90.00 102.43
Element x y z (fractional)
1 Ge 0.4575 0.9150 0.1707
2 Ge 0.6468 0.2936 0.5148
3 Ge 0.1939 0.3878 0.1346
4 Ge 0.8061 0.6122 0.8654
5 Ge 0.3532 0.7064 0.4852
6 Ge 0.5425 0.0850 0.8293
7 Pd 0.1244 0.2488 0.7067
8 Pd 0.8756 0.7512 0.2933
9 Pd 0.0000 0.0000 0.0000
10 Ni 0.0441 0.0882 0.3448
11 Ni 0.3861 0.7721 0.8108
12 Ni 0.7989 0.5979 0.5830
13 Ni 0.9559 0.9118 0.6552
14 Ni 0.3042 0.6083 0.0273
15 Ni 0.5000 0.0000 0.5000
16 Ni 0.6139 0.2279 0.1892
17 Ni 0.6958 0.3917 0.9727
18 Ni 0.2011 0.4021 0.4170


[11]
Computed, not measured: a relaxed Sr11Tl4Cd9 crystal at the GGA-PBE level of DFT.

Output
Formation energy = -0.314 eV/atom
Fermi-level density of states = 0.74 states/eV per atom

abc: 4.0707 14.7640 14.7640
angles: 114.64 90.00 90.00
Element x y z (fractional)
1 Cd 0.5000 0.5000 0.5000
2 Cd 0.5000 0.8708 0.3702
3 Cd 0.5000 0.3702 0.8708
4 Cd 0.5000 0.0517 0.2091
5 Cd 0.5000 0.2091 0.0517
6 Cd 0.5000 0.1292 0.6298
7 Cd 0.5000 0.6298 0.1292
8 Cd 0.5000 0.9483 0.7909
9 Cd 0.5000 0.7909 0.9483
10 Sr 0.0000 0.3337 0.6663
11 Sr 0.0000 0.6663 0.3337
12 Sr 0.0000 0.8361 0.1639
13 Sr 0.0000 0.5836 0.9214
14 Sr 0.0000 0.2654 0.2654
15 Sr 0.0000 0.0000 0.0000
16 Sr 0.0000 0.7346 0.7346
17 Sr 0.0000 0.4164 0.0786
18 Sr 0.0000 0.0786 0.4164
19 Sr 0.0000 0.1639 0.8361
20 Sr 0.0000 0.9214 0.5836
21 Tl 0.5000 0.2823 0.4614
22 Tl 0.5000 0.4614 0.2823
23 Tl 0.5000 0.7177 0.5386
24 Tl 0.5000 0.5386 0.7177


[12]
Computed, not measured: a relaxed K3CaBr crystal at the GGA-PBE level of DFT.

Output
ΔE to the lowest computed polymorph = 567 meV/atom
Fermi-level density of states = 0.76 states/eV per atom
Raw formation energy = 0.09 eV/atom

abc: 7.5760 7.5760 7.5760
angles: 90.00 90.00 90.00
Element x y z (fractional)
1 K 0.5000 0.0000 0.0000
2 K 0.0000 0.5000 0.0000
3 K 0.0000 0.0000 0.5000
4 Br 0.5000 0.5000 0.5000
5 Ca 0.0000 0.0000 0.0000


| no. | theoretical density (Mg/m³) |
| --- | --- |
| 1 | 6.10 |
| 2 | 2.49 |
| 3 | 4.60 |
| 4 | 3.99 |
| 5 | 3.39 |
| 6 | 10.49 |
| 7 | 7.62 |
| 8 | 7.06 |
| 9 | 3.21 |
| 10 | 8.86 |
| 11 | 5.75 |
| 12 | 0.91 |